# 1
Entry from the Alexandria database: crystalline Pm2TlO at its relaxed geometry (GGA-PBE).

```
4
Lattice="-2.3561 2.1181 0.4900 -1.8916 -1.6410 -2.0018 -2.7227 -4.4718 6.2385" Properties=species:S:1:pos:R:3 pbc="T T T"
Tl -3.4851 -1.9973 2.3634
O -2.1238 0.2386 -0.7559
Pm -2.1946 -3.6045 5.0286
Pm -0.5280 -0.8672 1.2099
```

Calculated values
uncorrected formation energy = -1.1112 eV/atom
relative energy among the computed polymorphs = 463.8 meV per atom
calculated volume = 84 Å³ per cell

---

# 2
Entry from the Alexandria database: crystalline Ba6Pd2Pb at its relaxed geometry (GGA-PBE).

```
18
Lattice="-5.5245 7.7876 -2.6428 8.0752 -1.3249 -5.5846 -5.3868 -8.2420 -1.0969" Properties=species:S:1:pos:R:3 pbc="T T T"
Ba -1.6496 -3.5470 -6.3158
Ba -1.1865 1.7676 -3.0084
Ba -2.7420 -6.3148 -2.7922
Ba -0.0941 4.5355 -6.5320
Ba -1.3673 0.6132 -6.9895
Ba -1.4689 -2.3925 -2.3348
Ba -0.0756 -7.3507 -5.7975
Ba -2.7605 5.5713 -3.5268
Ba -4.5534 -0.5917 -4.4582
Ba 1.7172 -1.1877 -4.8661
Ba 2.5874 -4.2842 -7.0287
Ba -5.4235 2.5049 -2.2956
Pd -4.4325 -3.8683 -4.4127
Pd 1.5963 2.0889 -4.9115
Pd -7.4186 -0.3090 -2.5426
Pd -3.4928 -0.1455 -1.1971
Pb 1.3442 -4.7835 -3.3407
Pb 0.0000 0.0000 0.0000
```

Calculated values
DFT formation energy = -416 meV/atom
calculated volume = 744 Å³ per cell

---

# 3
Entry from the Alexandria database: crystalline Zr6N3O at its relaxed geometry (GGA-PBE).

```
20
Lattice="6.0760 0.0000 0.0000 0.0000 5.6547 -0.1160 0.0000 -0.1587 8.4674" Properties=species:S:1:pos:R:3 pbc="T T T"
Zr 4.9489 1.8479 0.6760
Zr 4.9946 1.8107 3.6553
Zr 3.2645 1.7091 6.3261
Zr 2.8115 3.7869 2.0253
Zr 1.0815 3.6854 4.6961
Zr 1.1271 3.6481 7.6754
Zr 4.1652 4.5960 4.8518
Zr 4.1195 4.5586 7.8310
Zr 5.8495 4.6158 2.0344
Zr 0.2265 0.8803 6.3169
Zr 1.9566 0.9374 0.5204
Zr 1.9109 0.9001 3.4997
N 0.7740 2.6041 2.4914
N 3.0380 2.8273 -0.0579
N 5.3020 2.8921 5.8601
N 2.2640 5.3519 6.6670
N 0.0000 -0.0793 4.2336
N 3.8120 0.1440 1.6843
O 3.0380 2.7480 4.1758
O 6.0760 5.6547 -0.1159
```

Calculated values
uncorrected formation energy = -1.3313 eV/atom
calculated volume = 291 Å³ per cell